# 1
This record from Alexandria describes a geometry-optimized Ce11Tl9Cd4 structure. The functional is GGA-PBE.

Output
SG   No. 65
Final energy   -3.94 eV/atom

a b c (Å): 4.577 12.611 12.611
angles (deg): 110.78 90.00 90.00
Site moments in Bohr magnetons follow the coordinates.
Element x y z (fractional)
Ce: 0.000 0.576 0.942  0.77
Ce: 0.000 0.424 0.058  0.77
Ce: 0.000 0.942 0.576  0.77
Ce: 0.000 0.058 0.424  0.77
Ce: 0.000 0.641 0.359  0.89
Ce: 0.000 0.359 0.641  0.89
Ce: 0.000 0.837 0.163  0.94
Ce: 0.000 0.163 0.837  0.94
Ce: 0.000 0.000 0.000  0.98
Ce: 0.000 0.727 0.727  0.88
Ce: 0.000 0.273 0.273  0.88
Tl: 0.500 0.633 0.146  -0.01
Tl: 0.500 0.367 0.854  -0.01
Tl: 0.500 0.146 0.633  -0.01
Tl: 0.500 0.854 0.367  -0.01
Tl: 0.500 0.786 0.949  -0.01
Tl: 0.500 0.214 0.051  -0.01
Tl: 0.500 0.949 0.786  -0.01
Tl: 0.500 0.051 0.214  -0.01
Tl: 0.500 0.500 0.500  -0.01
Cd: 0.500 0.554 0.751  0.01
Cd: 0.500 0.446 0.249  0.01
Cd: 0.500 0.751 0.554  0.01
Cd: 0.500 0.249 0.446  0.01

***

# 2
This record from Alexandria describes a geometry-optimized Ce3TlCd structure. The functional is GGA-PBE.

Output
SG   No. 11
Final energy   -4.23 eV/atom
Relative energy among the computed polymorphs   0.016 eV per atom

a b c (Å): 6.449 4.552 14.951
angles (deg): 90.00 140.67 90.00
Site moments in Bohr magnetons follow the coordinates.
Element x y z (fractional)
Ce: 0.798 0.250 0.935  0.36
Ce: 0.202 0.750 0.065  0.36
Ce: 0.190 0.750 0.238  0.44
Ce: 0.620 0.250 0.356  0.66
Ce: 0.380 0.750 0.644  0.66
Ce: 0.810 0.250 0.762  0.44
Tl: 0.364 0.750 0.888  0.00
Tl: 0.636 0.250 0.112  0.00
Cd: 0.248 0.250 0.431  0.00
Cd: 0.752 0.750 0.569  0.00

***

# 3
This record from Alexandria describes a geometry-optimized CeTlCd structure. The functional is GGA-PBE.

Output
SG   No. 194
Final energy   -3.29 eV/atom

a b c (Å): 5.132 5.132 7.011
angles (deg): 90.00 90.00 120.00
Site moments in Bohr magnetons follow the coordinates.
Element x y z (fractional)
Ce: 0.000 0.000 0.500  1.02
Ce: 0.000 0.000 0.000  1.02
Tl: 0.333 0.667 0.750  0.01
Tl: 0.667 0.333 0.250  0.01
Cd: 0.333 0.667 0.250  0.01
Cd: 0.667 0.333 0.750  0.01

***

# 4
This record from Alexandria describes a geometry-optimized Ce3Tl5Cd structure. The functional is GGA-PBE.

Output
SG   No. 193
Final energy   -3.59 eV/atom

a b c (Å): 6.648 9.399 9.399
angles (deg): 120.00 90.00 90.00
Site moments in Bohr magnetons follow the coordinates.
Element x y z (fractional)
Ce: 0.750 0.348 0.000  0.81
Ce: 0.750 0.652 0.652  0.81
Ce: 0.750 0.000 0.348  0.81
Ce: 0.250 0.652 0.000  0.81
Ce: 0.250 0.348 0.348  0.81
Ce: 0.250 0.000 0.652  0.81
Tl: 0.000 0.333 0.667  0.01
Tl: 0.500 0.667 0.333  0.01
Tl: 0.000 0.667 0.333  0.01
Tl: 0.500 0.333 0.667  0.01
Tl: 0.750 0.685 0.000  0.01
Tl: 0.750 0.315 0.315  0.01
Tl: 0.750 0.000 0.685  0.01
Tl: 0.250 0.315 0.000  0.01
Tl: 0.250 0.685 0.685  0.01
Tl: 0.250 0.000 0.315  0.01
Cd: 0.000 0.000 0.000  0.00
Cd: 0.500 0.000 0.000  0.00

***

# 5
This record from Alexandria describes a geometry-optimized Ce3Tl2Cd4 structure. The functional is GGA-PBE.

Output
SG   No. 12
Final energy   -3.14 eV/atom
Relative energy among the computed polymorphs   0.000 eV per atom

a b c (Å): 5.139 6.167 9.542
angles (deg): 118.45 90.00 114.62
Site moments in Bohr magnetons follow the coordinates.
Element x y z (fractional)
Ce: 0.670 0.339 0.668  1.02
Ce: 0.000 0.000 0.000  1.02
Ce: 0.330 0.661 0.332  1.02
Tl: 0.611 0.221 0.277  0.00
Tl: 0.389 0.779 0.723  0.00
Cd: 0.722 0.444 0.050  0.01
Cd: 0.278 0.556 0.950  0.01
Cd: 0.945 0.891 0.607  0.01
Cd: 0.055 0.109 0.393  0.01

***

# 6
This record from Alexandria describes a geometry-optimized Ce2TlCd2 structure. The functional is GGA-PBE.

Output
SG   No. 15
Final energy   -3.37 eV/atom
Relative energy among the computed polymorphs   0.066 eV per atom

a b c (Å): 5.832 6.628 12.029
angles (deg): 39.21 75.97 63.90
Site moments in Bohr magnetons follow the coordinates.
Element x y z (fractional)
Ce: 0.450 0.913 0.936  0.61
Ce: 0.702 0.413 0.436  0.61
Ce: 0.550 0.087 0.064  0.61
Ce: 0.298 0.587 0.564  0.61
Tl: 0.125 0.750 0.250  -0.01
Tl: 0.875 0.250 0.750  -0.01
Cd: 0.355 0.934 0.656  0.00
Cd: 0.944 0.566 0.844  0.00
Cd: 0.645 0.066 0.344  0.00
Cd: 0.056 0.434 0.156  0.00

***

Listing ΔH_f (0 K) for the structures above in their given order: -414, -5, -63, -171, -203, -75 kJ/mol of formula units.